DFT (PBE-GGA) results for a relaxed LiAlNiW crystal.

a = 4.1900 Å, b = 4.1900 Å, c = 4.1900 Å
α = 60.00°, β = 60.00°, γ = 60.00°
Positions (direct):
Al1 0.0000 0.0000 0.0000
Li1 0.2500 0.2500 0.2500
Ni1 0.7500 0.7500 0.7500
W1 0.5000 0.5000 0.5000

Computed properties:
* E: -23.59 eV/cell
* crystal system: cubic
* space group: F-43m, No. 216